No. 1
Computed, not measured: a relaxed Nd2Y3Pb4 crystal at the PBE level of DFT.

Output
space-group type	P2_1/c

a = 8.2127 Å, b = 8.5049 Å, c = 8.4611 Å
α = 90.00°, β = 90.00°, γ = 111.52°
Last column: nearest neighbours and their distance in Å.
Sites, in units of the cell vectors:
Y (0.2377, 0.2445, 0.6599)  6 Pb 3.10-3.27
Pb (0.1403, 0.5092, 0.8595)  5 Y 3.14-3.25, 2 Nd 3.20-3.48, 1 Pb 3.27
Y (0.2623, 0.7555, 0.1599)  6 Pb 3.10-3.27
Y (0.7377, 0.2445, 0.8401)  6 Pb 3.10-3.27
Pb (0.6403, 0.5092, 0.6405)  5 Y 3.14-3.25, 2 Nd 3.20-3.48, 1 Pb 3.27
Nd (0.4428, 0.8064, 0.6797)  5 Pb 3.20-3.52
Nd (0.5572, 0.1936, 0.3203)  5 Pb 3.20-3.52
Pb (0.1693, 0.9142, 0.4598)  4 Y 3.10-3.30, 2 Nd 3.29-3.41
Nd (0.0572, 0.1936, 0.1797)  5 Pb 3.20-3.52
Pb (0.3307, 0.0858, 0.9598)  4 Y 3.10-3.30, 2 Nd 3.29-3.41
Pb (0.8307, 0.0858, 0.5402)  4 Y 3.10-3.30, 2 Nd 3.29-3.41
Pb (0.8597, 0.4908, 0.1405)  5 Y 3.14-3.25, 2 Nd 3.20-3.48, 1 Pb 3.27
Nd (0.9428, 0.8064, 0.8203)  5 Pb 3.20-3.52
Y (0.5000, 0.5000, 0.0000)  6 Pb 3.21-3.30
Pb (0.3597, 0.4908, 0.3595)  5 Y 3.14-3.25, 2 Nd 3.20-3.48, 1 Pb 3.27
Pb (0.6693, 0.9142, 0.0402)  4 Y 3.10-3.30, 2 Nd 3.29-3.41
Y (0.0000, 0.5000, 0.5000)  6 Pb 3.21-3.30
Y (0.7623, 0.7555, 0.3401)  6 Pb 3.10-3.27

No. 2
Computed, not measured: a relaxed SrFe2Hg crystal at the PBE level of DFT.

Output
space-group type	C2/m

a = 5.3169 Å, b = 5.7678 Å, c = 3.1515 Å
α = 75.83°, β = 86.47°, γ = 116.37°
Last column: nearest neighbours and their distance in Å.
Sites, in units of the cell vectors:
Fe (0.5000, 0.0000, 0.5000)  2 Hg 2.93, 2 Sr 2.93, 6 Fe 3.01-3.17
Fe (0.0000, 0.0000, 0.0000)  2 Sr 2.93, 2 Hg 2.93, 6 Fe 3.01-3.17
Sr (0.5000, 0.5000, 0.0000)  4 Fe 2.93, 4 Hg 3.01-3.17, 2 Sr 3.15
Hg (0.0000, 0.5000, 0.5000)  4 Fe 2.93, 4 Sr 3.01-3.17, 2 Hg 3.15

No. 3
Computed, not measured: a relaxed PmHo3Tl crystal at the PBE level of DFT.

Output
space-group type	P2_1/m

a = 5.3378 Å, b = 8.1043 Å, c = 7.3279 Å
α = 90.02°, β = 90.00°, γ = 90.12°
Last column: nearest neighbours and their distance in Å.
Sites, in units of the cell vectors:
Ho (0.8764, 0.4659, 0.4772)  3 Tl 3.04-3.34, 1 Ho 3.28
Ho (0.3763, 0.3753, 0.2007)  2 Pm 3.38, 4 Ho 3.43
Ho (0.8764, 0.4653, 0.9242)  3 Tl 3.04-3.34, 1 Ho 3.28
Pm (0.8756, 0.1191, 0.2011)  1 Tl 3.03, 2 Ho 3.38
Tl (0.3771, 0.6073, 0.7010)  1 Pm 3.03, 6 Ho 3.04-3.34
Ho (0.8750, 0.9775, 0.7009)  2 Pm 3.38, 4 Ho 3.43
Pm (0.3757, 0.2337, 0.7004)  1 Tl 3.03, 2 Ho 3.38
Ho (0.3749, 0.8869, 0.4243)  3 Tl 3.04-3.34, 1 Ho 3.28
Ho (0.3749, 0.8875, 0.9774)  3 Tl 3.04-3.34, 1 Ho 3.28
Tl (0.8741, 0.7455, 0.2005)  1 Pm 3.03, 6 Ho 3.04-3.34

No. 4
Computed, not measured: a relaxed Tm7SnHg4 crystal at the PBE level of DFT.

Output
space-group type	C2/m

a = 5.6163 Å, b = 8.9905 Å, c = 8.0709 Å
α = 61.13°, β = 69.64°, γ = 71.80°
Last column: nearest neighbours and their distance in Å.
Sites, in units of the cell vectors:
Sn (0.0000, 0.0000, 0.0000)  6 Tm 2.81-3.10
Tm (0.2867, 0.6576, 0.7690)  4 Hg 2.91-3.04
Tm (0.9263, 0.3960, 0.7514)  1 Sn 3.10, 3 Hg 3.14-3.21, 3 Tm 3.32-3.46
Hg (0.4699, 0.6889, 0.3713)  4 Tm 2.91-3.14, 1 Hg 2.99
Hg (0.7025, 0.6992, 0.8959)  6 Tm 2.99-3.21
Tm (0.1662, 0.1153, 0.5524)  3 Hg 3.08-3.44, 1 Sn 3.10, 1 Tm 3.32
Hg (0.5301, 0.3111, 0.6287)  4 Tm 2.91-3.14, 1 Hg 2.99
Tm (0.0737, 0.6040, 0.2486)  1 Sn 3.10, 3 Hg 3.14-3.21, 3 Tm 3.32-3.46
Tm (0.5000, 0.0000, 0.0000)  2 Sn 2.81, 4 Hg 2.95-2.99
Tm (0.7133, 0.3424, 0.2310)  4 Hg 2.91-3.04
Hg (0.2975, 0.3008, 0.1041)  6 Tm 2.99-3.21
Tm (0.8338, 0.8847, 0.4476)  3 Hg 3.08-3.44, 1 Sn 3.10, 1 Tm 3.32

No. 5
Computed, not measured: a relaxed HfZrHg2 crystal at the PBE level of DFT.

Output
space-group type	I-42d

a = 7.8116 Å, b = 7.8116 Å, c = 6.3207 Å
α = 51.83°, β = 51.83°, γ = 90.00°
Last column: nearest neighbours and their distance in Å.
Sites, in units of the cell vectors:
Hf (0.7500, 0.2500, 0.5000)  4 Hg 2.84, 2 Zr 3.07
Zr (0.5000, 0.5000, 0.0000)  4 Hg 2.89, 2 Hf 3.07
Hf (0.0000, 0.0000, 0.0000)  4 Hg 2.84, 2 Zr 3.07
Hg (0.1198, 0.6250, 0.2500)  2 Hf 2.84, 2 Zr 2.89, 2 Hg 3.07
Hg (0.6302, 0.1250, 0.2500)  2 Hf 2.84, 2 Zr 2.89, 2 Hg 3.07
Zr (0.2500, 0.7500, 0.5000)  4 Hg 2.89, 2 Hf 3.07
Hg (0.8750, 0.8802, 0.7500)  2 Hf 2.84, 2 Zr 2.89, 2 Hg 3.07
Hg (0.3750, 0.3698, 0.7500)  2 Hf 2.84, 2 Zr 2.89, 2 Hg 3.07

No. 6
Computed, not measured: a relaxed TaRe2As crystal at the PBE level of DFT.

Output
space-group type	P2/m

a = 4.5795 Å, b = 2.8624 Å, c = 4.8945 Å
α = 88.86°, β = 90.00°, γ = 90.00°
Last column: nearest neighbours and their distance in Å.
Sites, in units of the cell vectors:
As (0.5000, 0.7500, 0.7500)  4 Re 2.65, 4 Ta 2.81-2.86, 2 As 2.86
Ta (0.5000, 0.2500, 0.2500)  4 Re 2.76, 4 As 2.81-2.86, 2 Ta 2.86
Re (0.0000, 0.9230, 0.0020)  4 Re 2.60-2.86, 2 As 2.65, 2 Ta 2.76
Re (0.0000, 0.5770, 0.4980)  4 Re 2.60-2.86, 2 As 2.65, 2 Ta 2.76

no.,DFT formation energy (eV per atom)
1,-0.616
2,0.777
3,-0.018
4,-0.267
5,0.244
6,0.217